Below is a relaxed structure of SmZnRu, with properties calculated at the PBE-GGA level.

Energy of formation from the pure elements ... -0.273 eV/atom
Symmetry ... Pnma, No. 62

```
SmZnRu
1.0
4.105 0.000 0.000
0.000 8.120 0.000
0.000 0.000 7.058
Sm Zn Ru
4 4 4
Cartesian
1.026 6.626 3.346
3.079 2.566 0.183
1.026 5.553 6.875
3.079 1.494 3.712
3.079 7.603 1.027
3.079 4.576 4.556
1.026 0.516 6.031
1.026 3.544 2.502
3.079 5.073 1.902
3.079 7.107 5.431
1.026 1.013 1.627
1.026 3.047 5.156
```

---

Below is a relaxed structure of Sm4Zn3Ru, with properties calculated at the PBE-GGA level.

Energy of formation from the pure elements ... -0.300 eV/atom
Symmetry ... P4/mmm, No. 123

```
Sm4Zn3Ru
1.0
-0.800 -3.305 -1.092
1.708 -1.349 2.831
-12.478 0.460 7.746
Ru Zn Sm
1 3 4
Cartesian
0.454 -2.327 0.870
-2.650 -2.212 2.797
-5.785 -2.097 4.743
-8.920 -1.981 6.689
-11.050 0.407 6.860
-1.428 0.053 0.886
-4.663 0.172 2.895
-7.815 0.288 4.851
```

---

Below is a relaxed structure of Sm5ZnRu4, with properties calculated at the PBE-GGA level.

Energy of formation from the pure elements ... -0.223 eV/atom
Symmetry ... P4/mmm, No. 123

```
Sm5ZnRu4
1.0
3.483 0.000 0.000
0.000 3.483 0.000
0.000 0.000 17.832
Sm Zn Ru
5 1 4
Cartesian
1.741 1.741 2.003
1.741 1.741 5.466
1.741 1.741 8.916
1.741 1.741 12.367
1.741 1.741 15.829
0.000 0.000 0.000
0.000 0.000 3.633
0.000 0.000 7.170
0.000 0.000 10.662
0.000 0.000 14.200
```

---

Below is a relaxed structure of Sm2ZnRu, with properties calculated at the PBE-GGA level.

Relative energy among the computed polymorphs ... 0.0349 eV/atom
Energy of formation from the pure elements ... -0.284 eV/atom
Symmetry ... P4/mmm, No. 123

```
Sm2ZnRu
1.0
3.528 0.000 0.000
0.000 3.528 0.000
0.000 0.000 7.293
Ru Zn Sm
1 1 2
Cartesian
1.764 1.764 0.000
1.764 1.764 3.647
0.000 0.000 5.594
0.000 0.000 1.699
```

---

Below is a relaxed structure of Sm3ZnRu, with properties calculated at the PBE-GGA level.

Relative energy among the computed polymorphs ... 0.0622 eV/atom
Energy of formation from the pure elements ... -0.211 eV/atom
Symmetry ... P2_1/c, No. 14

```
Sm3ZnRu
1.0
5.908 0.000 0.000
0.000 8.016 0.595
0.000 -0.523 11.254
Sm Zn Ru
12 4 4
Cartesian
0.719 7.603 4.536
5.189 -0.110 7.313
3.673 0.151 1.686
2.235 7.342 10.163
3.446 5.722 5.227
2.462 1.771 6.621
0.492 2.033 0.994
5.416 5.460 10.854
0.641 4.610 7.416
5.267 2.883 4.433
3.595 2.621 10.060
2.313 4.872 1.789
5.267 5.363 2.634
0.641 2.130 9.214
2.313 2.392 3.587
3.595 5.101 8.262
2.051 7.009 7.259
3.857 0.484 4.590
5.005 0.222 10.217
0.903 7.271 1.632
```

---

Below is a relaxed structure of Sm2ZnRu, with properties calculated at the PBE-GGA level.

Relative energy among the computed polymorphs ... 0.0527 eV/atom
Energy of formation from the pure elements ... -0.267 eV/atom
Symmetry ... Fm-3m, No. 225

```
Sm2ZnRu
1.0
5.022 0.000 0.000
2.511 4.349 0.000
2.511 1.450 4.100
Ru Zn Sm
1 1 2
Cartesian
5.022 2.899 2.050
0.000 0.000 0.000
2.511 1.450 1.025
7.532 4.349 3.075
```

---

Below is a relaxed structure of Sm12Zn5Ru3, with properties calculated at the PBE-GGA level.

Energy of formation from the pure elements ... 0.194 eV/atom
Symmetry ... Ia-3d, No. 230

```
Sm12Zn5Ru3
1.0
-9.090 -8.317 -7.946
11.677 3.594 -8.103
4.374 -7.470 11.832
Ru Zn Sm
12 20 48
Cartesian
-1.891 -5.824 -7.519
1.351 -5.516 -11.551
8.083 -5.092 -1.662
0.828 -4.431 1.438
-5.400 -8.696 -5.007
4.983 -2.740 -5.086
1.979 -9.453 0.869
12.362 -3.497 0.790
6.134 -7.762 -5.655
-1.121 -7.101 -2.555
5.611 -6.678 7.334
8.853 -6.369 3.302
4.336 -1.559 -1.074
5.839 1.797 -4.052
0.000 0.000 0.000
0.058 -3.154 -3.526
-2.358 -7.894 1.943
1.294 -2.362 -8.025
9.262 -1.145 -2.634
-1.530 -12.325 3.381
2.121 -6.793 -6.587
1.332 -8.272 4.881
5.630 -3.921 -9.098
3.481 -6.097 -2.109
-4.545 -4.159 -3.973
2.187 -3.735 5.916
4.841 -5.400 2.370
8.492 0.132 -7.598
8.026 -1.938 1.864
-2.300 -11.048 -1.583
6.904 -9.039 -0.691
2.626 -10.634 -3.143
-4.854 -6.083 -6.130
5.451 -3.959 -2.075
-3.031 -8.474 -7.269
-1.838 -4.820 -4.803
6.005 -7.369 -2.789
-1.151 -7.020 -10.050
7.710 -2.970 -4.138
10.448 1.692 -6.280
8.713 -6.352 -4.193
1.110 -5.187 -8.684
-0.259 -7.580 -5.278
3.605 -4.028 -13.416
9.818 -2.657 -0.309
2.129 -2.277 -5.241
11.581 -0.253 -3.984
0.382 -7.091 2.494
2.068 -1.964 0.566
4.133 -1.741 -8.095
4.117 -5.686 -10.709
3.769 -0.158 -3.464
10.949 -5.445 -1.442
3.944 -5.437 -4.902
3.691 -8.968 -7.484
0.811 -11.916 1.847
3.018 -6.757 0.685
3.271 -3.225 3.267
6.151 -0.277 -6.064
2.845 -6.508 6.492
-3.987 -6.748 -2.775
3.193 -12.035 -0.753
2.829 -10.452 3.878
6.580 -5.103 -6.711
4.894 -10.230 -4.783
-4.619 -11.941 -0.233
-2.856 -9.537 -3.908
3.357 -8.166 9.199
4.833 -9.916 1.024
-1.751 -5.841 -0.025
5.852 -7.006 4.467
7.221 -4.613 1.061
-3.487 -13.885 2.063
-0.748 -9.224 -0.080
8.800 -7.373 0.586
8.113 -5.174 5.833
0.957 -4.824 -1.429
9.993 -3.719 3.051
1.511 -8.235 -2.143
11.816 -6.110 1.913
```

---

Below is a relaxed structure of Sm2ZnRu3, with properties calculated at the PBE-GGA level.

Energy of formation from the pure elements ... -0.253 eV/atom
Symmetry ... C2/m, No. 12

```
Sm2ZnRu3
1.0
4.792 -0.133 -2.515
-3.043 4.472 -0.240
-0.238 0.113 5.376
Sm Zn Ru
2 1 3
Cartesian
2.436 1.602 -1.281
-0.924 2.850 3.902
0.000 0.000 0.000
0.756 2.226 1.310
-0.119 0.056 2.688
2.277 -0.010 1.431
```

---

Below is a relaxed structure of Sm2Zn5Ru5, with properties calculated at the PBE-GGA level.

Energy of formation from the pure elements ... -0.164 eV/atom
Symmetry ... Pmmm, No. 47

```
Sm2Zn5Ru5
1.0
-3.303 0.853 -2.483
-3.073 0.306 4.193
1.850 9.164 0.688
Sm Zn Ru
2 5 5
Cartesian
-1.537 0.153 2.096
0.925 4.582 0.344
-0.920 3.207 2.326
1.535 7.602 0.571
0.315 1.562 0.117
-0.303 6.262 2.555
-1.652 0.427 -1.242
-2.263 5.162 1.199
-3.508 2.949 2.095
-1.018 7.374 0.303
-1.943 2.794 -0.041
-2.584 7.529 2.439
```

---

Below is a relaxed structure of Sm2Zn2Ru, with properties calculated at the PBE-GGA level.

Energy of formation from the pure elements ... -0.319 eV/atom
Symmetry ... C2/m, No. 12

```
Sm2Zn2Ru
1.0
3.971 0.000 0.000
1.985 5.332 -0.425
1.985 -0.527 10.547
Sm Zn Ru
4 4 2
Cartesian
3.971 1.597 3.417
5.956 0.956 9.097
3.971 3.208 6.705
1.985 3.849 1.024
1.985 0.775 5.707
5.956 4.031 9.051
5.956 4.030 4.415
1.985 0.773 1.071
3.971 0.061 7.227
3.971 4.743 2.894
```

---

Below is a relaxed structure of Sm5ZnRu2, with properties calculated at the PBE-GGA level.

Energy of formation from the pure elements ... -0.269 eV/atom
Symmetry ... I4/mcm, No. 140

```
Sm5ZnRu2
1.0
7.114 0.000 -3.358
-1.585 6.935 -3.358
-0.249 -0.313 8.686
Sm Zn Ru
10 2 4
Cartesian
2.430 4.654 2.199
4.048 6.684 -3.587
0.000 0.000 0.000
2.765 3.468 -3.358
1.231 -0.062 5.557
4.503 1.187 3.274
-0.842 3.406 4.482
0.777 5.436 -1.304
6.122 3.217 -2.513
2.850 1.968 -0.229
4.022 5.045 -0.694
1.258 1.577 2.664
0.434 2.490 -1.679
4.337 0.978 -2.627
1.192 5.957 -4.090
5.095 4.446 -5.038
```

---

Below is a relaxed structure of SmZnRu, with properties calculated at the PBE-GGA level.

Energy of formation from the pure elements ... -0.208 eV/atom
Symmetry ... P-6m2, No. 187

```
SmZnRu
1.0
-2.082 2.242 -1.995
1.040 -2.259 -3.623
-3.514 -1.151 2.374
Ru Zn Sm
1 1 1
Cartesian
-2.343 -1.147 0.043
-0.347 0.374 -0.333
-1.866 -0.395 -2.954
```